No. 1
A relaxed structure of Sr2CuW. Source: Alexandria, functional PBE.

a = 10.2688 Å, b = 10.2688 Å, c = 10.2688 Å
α = 18.96°, β = 18.96°, γ = 18.96°
Last column: nearest neighbours and their distance in Å.
Atoms (fractional coordinates):
Cu (0.7500, 0.7500, 0.7500)  6 Sr 3.13, 6 Cu 3.38
Sr (0.0024, 0.0024, 0.0024)  3 Cu 3.13, 3 W 3.25, 6 Sr 3.38
Sr (0.4976, 0.4976, 0.4976)  3 Cu 3.13, 3 W 3.25, 6 Sr 3.38
W (0.2500, 0.2500, 0.2500)  6 Sr 3.25, 6 W 3.38

Energy relative to the lowest polymorph listed for this composition (meV/atom): 27
Space group: R-3m (166)



No. 2
A relaxed structure of SrCuW2. Source: Alexandria, functional PBE.

a = 4.7668 Å, b = 4.7668 Å, c = 9.7682 Å
α = 75.88°, β = 75.88°, γ = 90.00°
Last column: nearest neighbours and their distance in Å.
Atoms (fractional coordinates):
Sr (0.0000, 0.0000, 0.0000)  4 Cu 3.37, 8 W 3.45-3.58
Sr (0.7500, 0.2500, 0.5000)  4 Cu 3.37, 8 W 3.45-3.58
Cu (0.5000, 0.5000, 0.0000)  4 W 2.59
Cu (0.2500, 0.7500, 0.5000)  4 W 2.59
W (0.3556, 0.1250, 0.2500)  2 W 2.39, 2 Cu 2.59
W (0.3944, 0.6250, 0.2500)  2 W 2.39, 2 Cu 2.59
W (0.3750, 0.6444, 0.7500)  2 W 2.39, 2 Cu 2.59
W (0.8750, 0.6056, 0.7500)  2 W 2.39, 2 Cu 2.59

Energy relative to the lowest polymorph listed for this composition (meV/atom): 430
Space group: I-42d (122)



No. 3
A relaxed structure of Sr3CuW. Source: Alexandria, functional PBE.

a = 5.7930 Å, b = 5.7930 Å, c = 5.7930 Å
α = 90.00°, β = 90.00°, γ = 90.00°
Last column: nearest neighbours and their distance in Å.
Atoms (fractional coordinates):
Sr (0.0000, 0.5000, 0.0000)  2 W 2.90
Sr (0.0000, 0.0000, 0.5000)  2 W 2.90
Sr (0.5000, 0.0000, 0.0000)  2 W 2.90
Cu (0.5000, 0.5000, 0.5000)  12 Sr 4.10
W (0.0000, 0.0000, 0.0000)  6 Sr 2.90

Energy relative to the lowest polymorph listed for this composition (meV/atom): 134
Space group: Pm-3m (221)



No. 4
A relaxed structure of SrY2Cu2. Source: Alexandria, functional PBE.

a = 4.8842 Å, b = 4.8842 Å, c = 6.6432 Å
α = 68.43°, β = 68.43°, γ = 90.00°
Last column: nearest neighbours and their distance in Å.
Atoms (fractional coordinates):
Y (0.7500, 0.2500, 0.5000)  4 Cu 2.93
Y (0.2500, 0.7500, 0.5000)  4 Cu 2.93
Sr (0.0000, 0.0000, 0.0000)  8 Cu 3.66, 8 Y 3.74
Cu (0.3920, 0.3920, 0.2160)  1 Cu 2.45
Cu (0.6080, 0.6080, 0.7840)  1 Cu 2.45

Energy relative to the lowest polymorph listed for this composition (meV/atom): 33
Space group: I4/mmm (139)



No. 5
A relaxed structure of Sr2YCu. Source: Alexandria, functional PBE.

a = 6.6132 Å, b = 6.6132 Å, c = 6.6132 Å
α = 136.13°, β = 136.13°, γ = 63.78°
Last column: nearest neighbours and their distance in Å.
Atoms (fractional coordinates):
Cu (0.7500, 0.2500, 0.5000)  8 Sr 3.49-3.74, 4 Y 3.74
Sr (0.0000, 0.0000, 0.0000)  4 Y 3.49, 4 Cu 3.74, 4 Sr 3.74
Sr (0.2500, 0.7500, 0.5000)  4 Cu 3.49, 4 Sr 3.74, 4 Y 3.74
Y (0.5000, 0.5000, 0.0000)  8 Sr 3.49-3.74, 4 Cu 3.74

Energy relative to the lowest polymorph listed for this composition (meV/atom): 381
Space group: I-4m2 (119)



No. 6
A relaxed structure of SrYCu2. Source: Alexandria, functional PBE.

a = 6.0490 Å, b = 6.0490 Å, c = 4.3911 Å
α = 89.95°, β = 89.95°, γ = 38.49°
Last column: nearest neighbours and their distance in Å.
Atoms (fractional coordinates):
Cu (0.9281, 0.9282, 0.1253)  2 Cu 2.60-2.61, 2 Y 2.89
Cu (0.8053, 0.8053, 0.6254)  2 Cu 2.60-2.61
Sr (0.5220, 0.5220, 0.6246)  7 Cu 3.15-3.24
Y (0.2445, 0.2445, 0.1247)  6 Cu 2.89-3.05

Energy relative to the lowest polymorph listed for this composition (meV/atom): 21
Space group: Amm2 (38)



No. 7
A relaxed structure of SrYCu2. Source: Alexandria, functional PBE.

a = 4.9364 Å, b = 4.9364 Å, c = 4.9364 Å
α = 60.00°, β = 60.00°, γ = 60.00°
Last column: nearest neighbours and their distance in Å.
Atoms (fractional coordinates):
Cu (0.0000, 0.0000, 0.0000)  4 Y 3.02, 4 Cu 3.02
Cu (0.2500, 0.2500, 0.2500)  4 Cu 3.02, 4 Sr 3.02
Sr (0.5000, 0.5000, 0.5000)  4 Cu 3.02, 4 Y 3.02
Y (0.7500, 0.7500, 0.7500)  4 Sr 3.02, 4 Cu 3.02

Energy relative to the lowest polymorph listed for this composition (meV/atom): 390
Space group: F-43m (216)



No. 8
A relaxed structure of Sr3YCu. Source: Alexandria, functional PBE.

a = 6.5473 Å, b = 6.5473 Å, c = 6.5473 Å
α = 90.00°, β = 90.00°, γ = 90.00°
Last column: nearest neighbours and their distance in Å.
Atoms (fractional coordinates):
Y (0.0000, 0.0000, 0.0000)  6 Sr 3.27
Sr (0.0000, 0.5000, 0.0000)  2 Y 3.27
Sr (0.0000, 0.0000, 0.5000)  2 Y 3.27
Sr (0.5000, 0.0000, 0.0000)  2 Y 3.27
Cu (0.5000, 0.5000, 0.5000)  12 Sr 4.63

Energy relative to the lowest polymorph listed for this composition (meV/atom): 843
Space group: Pm-3m (221)



Values for energy of formation from the pure elements, meV per atom, ordered as above
1108.3, 1372.2, 1205.8, -1.5, 392.8, -93.6, 275.0, 1076.7
Values for total DFT energy (no corrections), eV per atom, ordered as above
-3.9949, -6.5488, -3.2132, -4.5620, -3.0882, -4.1782, -3.8095, -2.0445
Values for magnetization, μB per formula unit, ordered as above
0.00, 0.00, 0.00, 0.00, 0.00, 0.00, 0.00, 3.67